# NiMoP2S

Crystalline NiMoP2S at its relaxed geometry (GGA-PBE, the Alexandria database).

Computed properties:
E_form (uncorrected) = 803 meV/atom
symmetry = P4/mmm, No. 123
mass density = 4.1 Mg/m³
energy above the most stable polymorph in this dataset = 0 meV/atom

Lattice parameters (Å, degrees): 4.7037 4.7037 4.5510 90.00 90.00 90.00
Last column: nearest neighbours and their distance in Å.
Atoms (fractional coordinates):
Ni: 0.0000 0.0000 0.0000  8 P 3.27, 4 S 3.33
Mo: 0.5000 0.5000 0.5000  2 S 2.28, 4 P 2.35
P: 0.0000 0.5000 0.5000  2 Mo 2.35
P: 0.5000 0.0000 0.5000  2 Mo 2.35
S: 0.5000 0.5000 0.0000  2 Mo 2.28